(1)
A plane-wave DFT calculation with PBE was carried out for Nd4Y10Th after structural relaxation.

Output
Final energy (eV/atom): -5.82
DFT formation energy (eV per formula unit): 3.77
Calculated volume (Å³ per cell): 520.7
Fermi-level density of states (states/eV/f.u.): 17.9

Cell lengths 8.086, 8.986, 8.986 Å; angles 78.32, 63.26, 63.26 degrees
Fractional coordinates of all 15 atoms:
1 Y 0.705 0.793 0.207
2 Y 0.087 0.207 0.207
3 Y 0.295 0.793 0.207
4 Y 0.250 0.500 0.500
5 Y 0.498 0.207 0.207
6 Y 0.502 0.793 0.793
7 Y 0.295 0.207 0.793
8 Y 0.750 0.500 0.500
9 Y 0.913 0.793 0.793
10 Y 0.705 0.207 0.793
11 Nd 0.775 0.450 0.000
12 Nd 0.225 0.000 0.550
13 Nd 0.775 0.000 0.450
14 Nd 0.225 0.550 0.000
15 Th 0.000 0.000 0.000

=====

(2)
A plane-wave DFT calculation with PBE was carried out for Nd2YTh after structural relaxation.

Output
Final energy (eV/atom): -5.80
DFT formation energy (eV per formula unit): 0.21
Calculated volume (Å³ per cell): 270.9
Fermi-level density of states (states/eV/f.u.): 5.7

Cell lengths 3.639, 11.771, 6.324 Å; angles 90.00, 90.00, 90.00 degrees
Fractional coordinates of all 8 atoms:
1 Nd 0.750 0.001 0.756
2 Nd 0.250 0.999 0.244
3 Nd 0.750 0.499 0.756
4 Nd 0.250 0.501 0.244
5 Y 0.750 0.750 0.427
6 Y 0.250 0.250 0.573
7 Th 0.250 0.750 0.918
8 Th 0.750 0.250 0.082

=====

(3)
A plane-wave DFT calculation with PBE was carried out for Nd4Y3Th after structural relaxation.

Output
Final energy (eV/atom): -5.57
DFT formation energy (eV per formula unit): 1.35
Calculated volume (Å³ per cell): 273.8
Fermi-level density of states (states/eV/f.u.): 14.1

Cell lengths 3.478, 6.895, 12.031 Å; angles 106.27, 98.31, 90.00 degrees
Fractional coordinates of all 8 atoms:
1 Y 0.000 0.500 0.000
2 Y 0.878 0.116 0.756
3 Y 0.122 0.884 0.244
4 Nd 0.122 0.361 0.243
5 Nd 0.742 0.237 0.484
6 Nd 0.258 0.763 0.516
7 Nd 0.878 0.639 0.757
8 Th 0.500 0.000 0.000

=====

(4)
A plane-wave DFT calculation with PBE was carried out for Nd4YTh2 after structural relaxation.

Output
Final energy (eV/atom): -5.73
DFT formation energy (eV per formula unit): 0.26
Calculated volume (Å³ per cell): 237.9
Fermi-level density of states (states/eV/f.u.): 10.1

Cell lengths 3.637, 3.637, 20.871 Å; angles 85.00, 85.00, 60.00 degrees
Fractional coordinates of all 7 atoms:
1 Nd 0.620 0.620 0.141
2 Nd 0.380 0.380 0.859
3 Nd 0.096 0.096 0.712
4 Nd 0.904 0.904 0.288
5 Y 0.000 0.000 0.000
6 Th 0.810 0.810 0.569
7 Th 0.190 0.190 0.431

=====

(5)
A plane-wave DFT calculation with PBE was carried out for Nd7Y16Th6 after structural relaxation.

Output
Final energy (eV/atom): -5.92
DFT formation energy (eV per formula unit): 9.66
Calculated volume (Å³ per cell): 992.0
Fermi-level density of states (states/eV/f.u.): 57.6

Cell lengths 11.195, 11.195, 11.195 Å; angles 60.00, 60.00, 60.00 degrees
Fractional coordinates of all 29 atoms:
1 Y 0.342 0.975 0.342
2 Y 0.121 0.121 0.637
3 Y 0.975 0.342 0.342
4 Y 0.637 0.121 0.121
5 Y 0.879 0.363 0.879
6 Y 0.658 0.658 0.658
7 Y 0.121 0.121 0.121
8 Y 0.658 0.658 0.025
9 Y 0.879 0.879 0.363
10 Y 0.342 0.342 0.342
11 Y 0.363 0.879 0.879
12 Y 0.658 0.025 0.658
13 Y 0.121 0.637 0.121
14 Y 0.342 0.342 0.975
15 Y 0.879 0.879 0.879
16 Y 0.025 0.658 0.658
17 Nd 0.500 0.000 0.500
18 Nd 0.000 0.500 0.500
19 Nd 0.000 0.500 0.000
20 Nd 0.500 0.500 0.000
21 Nd 0.000 0.000 0.000
22 Nd 0.000 0.000 0.500
23 Nd 0.500 0.000 0.000
24 Th 0.332 0.332 0.668
25 Th 0.668 0.332 0.668
26 Th 0.332 0.668 0.332
27 Th 0.332 0.668 0.668
28 Th 0.668 0.668 0.332
29 Th 0.668 0.332 0.332

=====

(6)
A plane-wave DFT calculation with PBE was carried out for Nd15Y4Th after structural relaxation.

Output
Final energy (eV/atom): -5.22
DFT formation energy (eV per formula unit): 0.45
Calculated volume (Å³ per cell): 691.6
Fermi-level density of states (states/eV/f.u.): 29.3

Cell lengths 5.177, 5.177, 25.802 Å; angles 90.00, 90.00, 90.00 degrees
Fractional coordinates of all 20 atoms:
1 Nd 0.500 0.000 0.902
2 Nd 0.500 0.500 0.600
3 Nd 0.500 0.000 0.098
4 Nd 0.500 0.000 0.500
5 Nd 0.000 0.500 0.700
6 Nd 0.500 0.000 0.300
7 Nd 0.500 0.000 0.700
8 Nd 0.000 0.500 0.500
9 Nd 0.500 0.500 0.202
10 Nd 0.500 0.500 0.798
11 Nd 0.000 0.500 0.098
12 Nd 0.000 0.500 0.902
13 Nd 0.000 0.500 0.300
14 Nd 0.500 0.500 0.000
15 Nd 0.500 0.500 0.400
16 Y 0.000 0.000 0.400
17 Y 0.000 0.000 0.800
18 Y 0.000 0.000 0.200
19 Y 0.000 0.000 0.600
20 Th 0.000 0.000 0.000

=====

(7)
A plane-wave DFT calculation with PBE was carried out for Nd3Y6Th after structural relaxation.

Output
Final energy (eV/atom): -5.77
DFT formation energy (eV per formula unit): 2.83
Calculated volume (Å³ per cell): 340.5
Fermi-level density of states (states/eV/f.u.): 20.8

Cell lengths 9.988, 9.988, 6.985 Å; angles 44.36, 44.36, 60.00 degrees
Fractional coordinates of all 10 atoms:
1 Nd 0.156 0.156 0.532
2 Nd 0.645 0.645 0.066
3 Nd 0.400 0.400 0.799
4 Y 0.069 0.400 0.801
5 Y 0.574 0.226 0.301
6 Y 0.731 0.069 0.801
7 Y 0.400 0.731 0.801
8 Y 0.226 0.900 0.301
9 Y 0.900 0.574 0.301
10 Th 0.900 0.900 0.299

=====

(8)
A plane-wave DFT calculation with PBE was carried out for Nd4Y3Th2 after structural relaxation.

Output
Final energy (eV/atom): -5.80
DFT formation energy (eV per formula unit): 1.07
Calculated volume (Å³ per cell): 603.5
Fermi-level density of states (states/eV/f.u.): 14.4

Cell lengths 6.227, 10.139, 10.139 Å; angles 72.07, 83.75, 83.75 degrees
Fractional coordinates of all 18 atoms:
1 Nd 0.983 0.188 0.914
2 Nd 0.651 0.847 0.584
3 Nd 0.849 0.416 0.153
4 Nd 0.349 0.153 0.416
5 Nd 0.017 0.812 0.086
6 Nd 0.151 0.584 0.847
7 Nd 0.517 0.086 0.812
8 Nd 0.483 0.914 0.188
9 Y 0.081 0.943 0.718
10 Y 0.250 0.392 0.608
11 Y 0.419 0.282 0.057
12 Y 0.750 0.608 0.392
13 Y 0.581 0.718 0.943
14 Y 0.919 0.057 0.282
15 Th 0.810 0.253 0.530
16 Th 0.690 0.470 0.747
17 Th 0.310 0.530 0.253
18 Th 0.190 0.747 0.470